# YFe2IrBr

A geometry-optimized YFe2IrBr structure (PBE, Alexandria).

Cell: 4.335 5.310 4.335 Å, 90.00 90.00 90.00°
Site moments in Bohr magnetons follow the coordinates.
Fractional coordinates of all 5 atoms:
Ir 0.500 0.500 0.500  0.52
Y 0.000 0.500 0.000  -0.11
Fe 0.500 0.000 0.000  2.68
Br 0.000 0.000 0.000  0.00
Fe 0.000 0.000 0.500  2.12

Results
- Energy relative to the elements, uncorrected: 0.82 eV per atom
- Calculated density: 7.87 g/cm3
- Total moment: 5.020 Bohr magnetons per cell
- Space group: P4/mmm (123)